Entry A
A plane-wave DFT calculation with GGA-PBE was carried out for a relaxed structure of GaNF3.

Properties
M_tot = 3.0 μB/f.u.
Space group = No. 1

Lattice parameters (Å, degrees): 3.837 7.071 7.972 97.01 103.09 57.13
Positions (direct):
F1 0.759 0.650 0.688
N1 0.660 0.401 0.987
N2 0.709 0.901 0.068
Ga1 0.434 0.900 0.527
F2 0.434 0.400 0.527
F3 0.260 0.149 0.688
F4 0.108 0.150 0.367
F5 0.934 0.900 0.528
F6 0.609 0.650 0.367
Ga2 0.934 0.400 0.527

***

Entry B
A plane-wave DFT calculation with GGA-PBE was carried out for a relaxed structure of GaNF3.

Properties
M_tot = 0.8 μB/f.u.
Space group = No. 221

Lattice parameters (Å, degrees): 3.922 3.922 3.922 90.00 90.00 90.00
Positions (direct):
Ga1 0.500 0.500 0.500
F1 0.000 0.000 0.500
F2 0.500 0.000 0.000
N1 0.000 0.000 0.000
F3 0.000 0.500 0.000

***

Entry C
A plane-wave DFT calculation with GGA-PBE was carried out for a relaxed structure of GaNF3.

Properties
M_tot = 3.0 μB/f.u.
Space group = No. 221

Lattice parameters (Å, degrees): 3.888 3.888 3.888 90.00 90.00 90.00
Positions (direct):
F1 0.500 0.000 0.000
Ga1 0.000 0.000 0.000
N1 0.500 0.500 0.500
F2 0.000 0.000 0.500
F3 0.000 0.500 0.000

***

It is entry A that is most stable; the runner-up trails by 78 meV per atom.

***

Entry A
A plane-wave DFT calculation with GGA-PBE was carried out for a relaxed structure of NaGaNF2.

Properties
M_tot = 1.0 μB/f.u.
Space group = No. 123

Lattice parameters (Å, degrees): 4.165 4.165 3.721 90.00 90.00 90.00
Positions (direct):
Na1 0.500 0.500 0.500
Ga1 0.000 0.000 0.000
N1 0.000 0.000 0.500
F1 0.000 0.500 0.000
F2 0.500 0.000 0.000

***

Entry B
A plane-wave DFT calculation with GGA-PBE was carried out for a relaxed structure of NaGaNF2.

Properties
M_tot = 3.0 μB/f.u.
Space group = No. 123

Lattice parameters (Å, degrees): 4.330 4.330 4.463 90.00 90.00 90.00
Positions (direct):
Na1 0.000 0.000 0.000
N1 0.000 0.000 0.500
Ga1 0.500 0.500 0.500
F1 0.500 0.000 0.000
F2 0.000 0.500 0.000

***

It is entry A that is most stable; the runner-up trails by 929 meV per atom.

***

Entry A
A plane-wave DFT calculation with GGA-PBE was carried out for a relaxed structure of NbGaNF2.

Properties
M_tot = 1.0 μB/f.u.
Space group = No. 123

Lattice parameters (Å, degrees): 4.309 4.309 4.042 90.00 90.00 90.00
Positions (direct):
F1 0.500 0.000 0.000
Ga1 0.500 0.500 0.500
F2 0.000 0.500 0.000
Nb1 0.000 0.000 0.000
N1 0.000 0.000 0.500

***

Entry B
A plane-wave DFT calculation with GGA-PBE was carried out for a relaxed structure of NbGaNF2.

Properties
M_tot = 2.9 μB/f.u.
Space group = No. 123

Lattice parameters (Å, degrees): 3.917 3.917 4.000 90.00 90.00 90.00
Positions (direct):
F1 0.000 0.500 0.000
F2 0.500 0.000 0.000
Nb1 0.500 0.500 0.500
N1 0.000 0.000 0.500
Ga1 0.000 0.000 0.000

***

It is entry A that is most stable; the runner-up trails by 763 meV per atom.